[1]
First-principles (PBE) data for BaTeAs after structural relaxation, as listed in Alexandria.

a = 7.7163 Å, b = 7.7163 Å, c = 7.7163 Å
α = 90.00°, β = 90.00°, γ = 90.00°
Space group F-43m (No. 216)
Symmetry-distinct sites (fractional):
Ba  0.0000  0.0000  0.0000 [4 per cell]
Te  0.2500  0.2500  0.2500 [4 per cell]
As  0.0000  0.0000  0.5000 [4 per cell]



[2]
First-principles (PBE) data for BaBr2Cl after structural relaxation, as listed in Alexandria.

Computed properties:
E above lowest polymorph: 138 meV/atom

a = 5.2387 Å, b = 5.2387 Å, c = 8.9391 Å
α = 90.00°, β = 90.00°, γ = 90.00°
Space group I-4m2 (No. 119)
Symmetry-distinct sites (fractional):
Ba  0.0000  0.0000  0.0000 [2 per cell]
Br  0.0000  0.0000  0.5000 [2 per cell]
Br  0.0000  0.5000  0.7500 [2 per cell]
Cl  0.0000  0.5000  0.2500 [2 per cell]



Taking the records one at a time from the top gives energy relative to the elements, uncorrected values of -406; -1471 meV per atom.
Taking the records one at a time from the top gives calculated volume values of 459; 245 Å³/cell.
Taking the records one at a time from the top gives total energy values of -43.7; -26.0 eV/cell.